1.
Material: YPS2F
Method: DFT, PBE
State: optimized geometry

Computed properties:
N(E_F) ... 0.46 states/eV per atom
ΔE to the lowest computed polymorph ... 0.00 kcal/mol of atoms
Formation energy (no corrections) ... -675 meV/atom
E ... -25.376 eV/cell
Theoretical density ... 3.3 g/cm³

a = 4.3968 Å, b = 4.3968 Å, c = 5.3148 Å
α = 90.00°, β = 90.00°, γ = 90.00°
Closest atoms and distances in Å follow each position.
Fractional positions:
Y  0.0000  0.0000  0.0000  2 P 2.66
P  0.0000  0.0000  0.5000  4 S 2.20
S  0.0000  0.5000  0.5000  2 P 2.20
S  0.5000  0.0000  0.5000  2 P 2.20
F  0.5000  0.5000  0.0000  4 Y 3.11, 8 S 3.45

---

2.
Material: YPS2F
Method: DFT, PBE
State: optimized geometry

Computed properties:
N(E_F) ... 1.55 states/eV per atom
ΔE to the lowest computed polymorph ... 17.15 kcal/mol of atoms
Formation energy (no corrections) ... 68 meV/atom
E ... -21.658 eV/cell
Theoretical density ... 2.2 g/cm³

a = 5.2168 Å, b = 5.2168 Å, c = 5.5922 Å
α = 90.00°, β = 90.00°, γ = 90.00°
Closest atoms and distances in Å follow each position.
Fractional positions:
Y  0.0000  0.0000  0.0000  4 S 2.61, 2 P 2.80
P  0.0000  0.0000  0.5000  2 Y 2.80
S  0.0000  0.5000  0.0000  2 Y 2.61
S  0.5000  0.0000  0.0000  2 Y 2.61
F  0.5000  0.5000  0.5000  4 P 3.69, 8 S 3.82